Entry a
CsTl2S | PBE-GGA | optimized geometry

Summary:
calculated volume	33.73	Å³/atom
theoretical density	7.1	Mg/m³

Structure (CIF):
```
data_CsTl2S
_chemical_formula_sum 'Cs1 Tl2 S1'
_cell_length_a 3.9799
_cell_length_b 3.9799
_cell_length_c 8.5174
_cell_angle_alpha 90.00
_cell_angle_beta 90.00
_cell_angle_gamma 90.00
_symmetry_space_group_name_H-M 'P 4/m m m'
_symmetry_Int_Tables_number 123
_symmetry_space_group_name_Hall '-P 4 2'
loop_
_atom_site_label
_atom_site_type_symbol
_atom_site_fract_x
_atom_site_fract_y
_atom_site_fract_z
_atom_site_occupancy
Cs1 Cs 0.0000 0.0000 0.0000 1
Tl1 Tl 0.5000 0.5000 0.3251 1
S1 S 0.0000 0.0000 0.5000 1
```

=====

Entry b
CsTl2S | PBE-GGA | optimized geometry

Summary:
calculated volume	47.78	Å³/atom
theoretical density	5.0	Mg/m³

Structure (CIF):
```
data_CsTl2S
_chemical_formula_sum 'Cs3 Tl6 S3'
_cell_length_a 4.4699
_cell_length_b 4.4699
_cell_length_c 33.1343
_cell_angle_alpha 90.00
_cell_angle_beta 90.00
_cell_angle_gamma 120.00
_symmetry_space_group_name_H-M 'R -3 m'
_symmetry_Int_Tables_number 166
_symmetry_space_group_name_Hall '-R 3 2"'
loop_
_atom_site_label
_atom_site_type_symbol
_atom_site_fract_x
_atom_site_fract_y
_atom_site_fract_z
_atom_site_occupancy
Cs1 Cs 0.0000 0.0000 0.0000 1
Tl1 Tl 0.0000 0.0000 0.1207 1
S1 S 0.0000 0.0000 0.5000 1
```

=====

The most stable of them is entry a.

=====

Entry a
Cs2TlS2 | PBE-GGA | optimized geometry

Summary:
calculated volume	47.59	Å³/atom
theoretical density	3.7	Mg/m³

Structure (CIF):
```
data_Cs2TlS2
_chemical_formula_sum 'Cs8 Tl4 S8'
_cell_length_a 15.5297
_cell_length_b 7.1291
_cell_length_c 9.9845
_cell_angle_alpha 90.00
_cell_angle_beta 120.56
_cell_angle_gamma 90.00
_symmetry_space_group_name_H-M 'C 1 2/m 1'
_symmetry_Int_Tables_number 12
loop_
_symmetry_equiv_pos_as_xyz
'x,y,z'
'-x,-y,-z'
'-x,y,-z'
'x,-y,z'
'x+1/2,y+1/2,z'
'-x+1/2,-y+1/2,-z'
'-x+1/2,y+1/2,-z'
'x+1/2,-y+1/2,z'
loop_
_atom_site_label
_atom_site_type_symbol
_atom_site_fract_x
_atom_site_fract_y
_atom_site_fract_z
_atom_site_occupancy
Cs1 Cs 0.0367 0.0000 0.2575 1
Cs2 Cs 0.1678 0.5000 0.0800 1
Tl1 Tl 0.1328 0.5000 0.6421 1
S1 S 0.0300 0.5000 0.3138 1
S2 S 0.1868 0.0000 0.1013 1
```

=====

Entry b
Cs2TlS2 | PBE-GGA | optimized geometry

Summary:
calculated volume	41.07	Å³/atom
theoretical density	4.3	Mg/m³

Structure (CIF):
```
data_Cs2TlS2
_chemical_formula_sum 'Cs8 Tl4 S8'
_cell_length_a 5.0512
_cell_length_b 20.8773
_cell_length_c 7.7891
_cell_angle_alpha 90.00
_cell_angle_beta 90.00
_cell_angle_gamma 90.00
_symmetry_space_group_name_H-M 'C m c 21'
_symmetry_Int_Tables_number 36
loop_
_symmetry_equiv_pos_as_xyz
'x,y,z'
'-x,-y,z+1/2'
'-x,y,z'
'x,-y,z+1/2'
'x+1/2,y+1/2,z'
'-x+1/2,-y+1/2,z+1/2'
'-x+1/2,y+1/2,z'
'x+1/2,-y+1/2,z+1/2'
loop_
_atom_site_label
_atom_site_type_symbol
_atom_site_fract_x
_atom_site_fract_y
_atom_site_fract_z
_atom_site_occupancy
Cs1 Cs 0.0000 0.0225 0.0000 1
Cs2 Cs 0.0000 0.1940 0.2365 1
Tl1 Tl 0.0000 0.3752 0.1097 1
S1 S 0.0000 0.1565 0.7085 1
S2 S 0.0000 0.4248 0.8036 1
```

=====

The most stable of them is entry b.

=====

Entry a
Cs5TlS4 | PBE-GGA | optimized geometry

Summary:
calculated volume	44.77	Å³/atom
theoretical density	3.7	Mg/m³

Structure (CIF):
```
data_Cs5TlS4
_chemical_formula_sum 'Cs10 Tl2 S8'
_cell_length_a 10.1286
_cell_length_b 10.6576
_cell_length_c 8.2943
_cell_angle_alpha 90.00
_cell_angle_beta 90.00
_cell_angle_gamma 90.00
_symmetry_space_group_name_H-M 'P m m n'
_symmetry_Int_Tables_number 59
loop_
_symmetry_equiv_pos_as_xyz
'x,y,z'
'-x,-y,-z'
'-x+1/2,-y+1/2,z'
'x+1/2,y+1/2,-z'
'x+1/2,-y,-z'
'-x+1/2,y,z'
'-x,y+1/2,-z'
'x,-y+1/2,z'
loop_
_atom_site_label
_atom_site_type_symbol
_atom_site_fract_x
_atom_site_fract_y
_atom_site_fract_z
_atom_site_occupancy
Cs1 Cs 0.0091 0.0569 0.2364 1
Cs2 Cs 0.2500 0.7500 0.3549 1
Tl1 Tl 0.2500 0.2500 0.7098 1
S1 S 0.0332 0.2500 0.8833 1
S2 S 0.2500 0.0438 0.5349 1
```

=====

Entry b
Cs5TlS4 | PBE-GGA | optimized geometry

Summary:
calculated volume	42.34	Å³/atom
theoretical density	3.9	Mg/m³

Structure (CIF):
```
data_Cs5TlS4
_chemical_formula_sum 'Cs10 Tl2 S8'
_cell_length_a 20.4889
_cell_length_b 4.8461
_cell_length_c 8.9897
_cell_angle_alpha 90.00
_cell_angle_beta 108.46
_cell_angle_gamma 90.00
_symmetry_space_group_name_H-M 'C 1 2/m 1'
_symmetry_Int_Tables_number 12
loop_
_symmetry_equiv_pos_as_xyz
'x,y,z'
'-x,-y,-z'
'-x,y,-z'
'x,-y,z'
'x+1/2,y+1/2,z'
'-x+1/2,-y+1/2,-z'
'-x+1/2,y+1/2,-z'
'x+1/2,-y+1/2,z'
loop_
_atom_site_label
_atom_site_type_symbol
_atom_site_fract_x
_atom_site_fract_y
_atom_site_fract_z
_atom_site_occupancy
Cs1 Cs 0.0000 0.0000 0.0000 1
Cs2 Cs 0.1624 0.5000 0.8454 1
Cs3 Cs 0.1658 0.5000 0.3619 1
Tl1 Tl 0.0000 0.0000 0.5000 1
S1 S 0.9996 0.5000 0.2779 1
S2 S 0.1444 0.0000 0.5937 1
```

=====

The most stable of them is entry a.

=====

Entry a
Cs3TmS3 | PBE-GGA | optimized geometry

Summary:
calculated volume	40.09	Å³/atom
theoretical density	3.9	Mg/m³

Structure (CIF):
```
data_Cs3TmS3
_chemical_formula_sum 'Cs12 Tm4 S12'
_cell_length_a 8.6634
_cell_length_b 14.5887
_cell_length_c 11.1468
_cell_angle_alpha 90.00
_cell_angle_beta 127.17
_cell_angle_gamma 90.00
_symmetry_space_group_name_H-M 'P 1 21/c 1'
_symmetry_Int_Tables_number 14
loop_
_symmetry_equiv_pos_as_xyz
'x,y,z'
'-x,-y,-z'
'-x,y+1/2,-z+1/2'
'x,-y+1/2,z+1/2'
loop_
_atom_site_label
_atom_site_type_symbol
_atom_site_fract_x
_atom_site_fract_y
_atom_site_fract_z
_atom_site_occupancy
Cs1 Cs 0.1089 0.1253 0.4751 1
Cs2 Cs 0.1666 0.1083 0.8855 1
Cs3 Cs 0.3308 0.6748 0.5425 1
Tm1 Tm 0.4464 0.0648 0.3413 1
S1 S 0.1840 0.1871 0.2039 1
S2 S 0.3345 0.5949 0.8694 1
S3 S 0.3709 0.5435 0.2680 1
```

=====

Entry b
Cs3TmS3 | PBE-GGA | optimized geometry

Summary:
calculated volume	41.26	Å³/atom
theoretical density	3.8	Mg/m³

Structure (CIF):
```
data_Cs3TmS3
_chemical_formula_sum 'Cs12 Tm4 S12'
_cell_length_a 9.4680
_cell_length_b 14.6101
_cell_length_c 8.5403
_cell_angle_alpha 90.00
_cell_angle_beta 102.08
_cell_angle_gamma 90.00
_symmetry_space_group_name_H-M 'C 1 2/m 1'
_symmetry_Int_Tables_number 12
loop_
_symmetry_equiv_pos_as_xyz
'x,y,z'
'-x,-y,-z'
'-x,y,-z'
'x,-y,z'
'x+1/2,y+1/2,z'
'-x+1/2,-y+1/2,-z'
'-x+1/2,y+1/2,-z'
'x+1/2,-y+1/2,z'
loop_
_atom_site_label
_atom_site_type_symbol
_atom_site_fract_x
_atom_site_fract_y
_atom_site_fract_z
_atom_site_occupancy
Cs1 Cs 0.0000 0.1847 0.0000 1
Cs2 Cs 0.0000 0.2554 0.5000 1
Cs3 Cs 0.1230 0.5000 0.8594 1
Tm1 Tm 0.1715 0.0000 0.6428 1
S1 S 0.0969 0.0000 0.3290 1
S2 S 0.1990 0.3586 0.2292 1
```

=====

The most stable of them is entry b.

=====

Entry a
CsTm2S3 | PBE-GGA | optimized geometry

Summary:
calculated volume	26.18	Å³/atom
theoretical density	6.0	Mg/m³

Structure (CIF):
```
data_CsTm2S3
_chemical_formula_sum 'Cs1 Tm2 S3'
_cell_length_a 7.0986
_cell_length_b 7.0986
_cell_length_c 3.5994
_cell_angle_alpha 90.00
_cell_angle_beta 90.00
_cell_angle_gamma 120.00
_symmetry_space_group_name_H-M 'P 6/m m m'
_symmetry_Int_Tables_number 191
_symmetry_space_group_name_Hall '-P 6 2'
loop_
_atom_site_label
_atom_site_type_symbol
_atom_site_fract_x
_atom_site_fract_y
_atom_site_fract_z
_atom_site_occupancy
Cs1 Cs 0.0000 0.0000 0.0000 1
Tm1 Tm 0.3333 0.6667 0.5000 1
S1 S 0.0000 0.5000 0.0000 1
```

=====

Entry b
CsTm2S3 | PBE-GGA | optimized geometry

Summary:
calculated volume	27.81	Å³/atom
theoretical density	5.6	Mg/m³

Structure (CIF):
```
data_CsTm2S3
_chemical_formula_sum 'Cs2 Tm4 S6'
_cell_length_a 8.4958
_cell_length_b 3.8810
_cell_length_c 10.3295
_cell_angle_alpha 90.00
_cell_angle_beta 101.53
_cell_angle_gamma 90.00
_symmetry_space_group_name_H-M 'P 1 21/m 1'
_symmetry_Int_Tables_number 11
loop_
_symmetry_equiv_pos_as_xyz
'x,y,z'
'-x,-y,-z'
'-x,y+1/2,-z'
'x,-y+1/2,z'
loop_
_atom_site_label
_atom_site_type_symbol
_atom_site_fract_x
_atom_site_fract_y
_atom_site_fract_z
_atom_site_occupancy
Cs1 Cs 0.0262 0.2500 0.3250 1
Tm1 Tm 0.3302 0.2500 0.0159 1
Tm2 Tm 0.4827 0.2500 0.6682 1
S1 S 0.2253 0.7500 0.1495 1
S2 S 0.3259 0.7500 0.5127 1
S3 S 0.3807 0.7500 0.8383 1
```

=====

The most stable of them is entry a.

=====

Entry a
Cs2U3S8 | PBE-GGA | optimized geometry

Summary:
calculated volume	34.88	Å³/atom
theoretical density	4.5	Mg/m³

Structure (CIF):
```
data_Cs2U3S8
_chemical_formula_sum 'Cs4 U6 S16'
_cell_length_a 16.7619
_cell_length_b 8.1457
_cell_length_c 6.9658
_cell_angle_alpha 90.00
_cell_angle_beta 107.56
_cell_angle_gamma 90.00
_symmetry_space_group_name_H-M 'C 1 2/m 1'
_symmetry_Int_Tables_number 12
loop_
_symmetry_equiv_pos_as_xyz
'x,y,z'
'-x,-y,-z'
'-x,y,-z'
'x,-y,z'
'x+1/2,y+1/2,z'
'-x+1/2,-y+1/2,-z'
'-x+1/2,y+1/2,-z'
'x+1/2,-y+1/2,z'
loop_
_atom_site_label
_atom_site_type_symbol
_atom_site_fract_x
_atom_site_fract_y
_atom_site_fract_z
_atom_site_occupancy
Cs1 Cs 0.2310 0.0000 0.1705 1
U1 U 0.0000 0.2440 0.5000 1
U2 U 0.0000 0.5000 0.0000 1
S1 S 0.0860 0.5000 0.3966 1
S2 S 0.0866 0.2773 0.8800 1
S3 S 0.0949 0.0000 0.4626 1
```

=====

Entry b
Cs2U3S8 | PBE-GGA | optimized geometry

Summary:
calculated volume	29.16	Å³/atom
theoretical density	5.4	Mg/m³

Structure (CIF):
```
data_Cs2U3S8
_chemical_formula_sum 'Cs2 U3 S8'
_cell_length_a 9.8765
_cell_length_b 4.4817
_cell_length_c 9.8775
_cell_angle_alpha 90.00
_cell_angle_beta 119.87
_cell_angle_gamma 90.00
_symmetry_space_group_name_H-M 'P 1 2/m 1'
_symmetry_Int_Tables_number 10
loop_
_symmetry_equiv_pos_as_xyz
'x,y,z'
'-x,-y,-z'
'-x,y,-z'
'x,-y,z'
loop_
_atom_site_label
_atom_site_type_symbol
_atom_site_fract_x
_atom_site_fract_y
_atom_site_fract_z
_atom_site_occupancy
Cs1 Cs 0.2420 0.0000 0.2586 1
U1 U 0.2075 0.5000 0.7078 1
U2 U 0.5000 0.0000 0.0000 1
S1 S 0.0941 0.5000 0.4062 1
S2 S 0.1743 0.0000 0.8530 1
S3 S 0.3527 0.0000 0.6745 1
S4 S 0.4114 0.5000 0.0885 1
```

=====

The most stable of them is entry a.